{
  "formula": "DySiPt2",
  "functional": "PBE",
  "state": "relaxed",
  "lattice": [[-3.378, 2.001, -0.872], [-3.507, -4.485, 3.289], [0.563, 2.986, 4.672]],
  "species": ["Dy", "Dy", "Pt", "Pt", "Pt", "Pt", "Si", "Si"],
  "frac_coords": [[0.000, 0.077, 0.367], [0.500, 0.923, 0.867], [0.500, 0.343, 0.169], [0.500, 0.740, 0.342], [0.000, 0.657, 0.669], [0.000, 0.260, 0.842], [0.000, 0.609, 0.121], [0.500, 0.391, 0.621]],
  "final_energy_ev_per_atom": -6.504
}